Tl5Cd3Hg3 | PBE-GGA | relaxed

Results
calculated volume: 318.7 Å³/cell
ρ: 10.22 g cm⁻³
uncorrected energy: -1.347 eV per atom
ΔE_f: 0.06 eV per atom
Fermi-level density of states: 4.5 states/eV/cell
ΔE to the lowest computed polymorph: 0 meV per atom
space-group type: P-62m, No. 189

abc: 10.441 10.441 3.376
angles: 90.00 90.00 120.00
Fractional coordinates of all 11 atoms:
Tl 0.000 0.651 0.000
Tl 0.333 0.667 0.000
Tl 0.349 0.349 0.000
Tl 0.651 0.000 0.000
Tl 0.667 0.333 0.000
Cd 0.000 0.165 0.000
Cd 0.165 0.000 0.000
Cd 0.835 0.835 0.000
Hg 0.000 0.395 0.500
Hg 0.395 0.000 0.500
Hg 0.605 0.605 0.500

=====

TlCd2Hg4 | PBE-GGA | relaxed

Results
calculated volume: 385.0 Å³/cell
ρ: 10.62 g cm⁻³
uncorrected energy: -0.743 eV per atom
ΔE_f: 0.03 eV per atom
Fermi-level density of states: 6.2 states/eV/cell
ΔE to the lowest computed polymorph: 7 meV per atom
space-group type: Cmcm, No. 63

abc: 5.990 5.990 14.071
angles: 90.00 90.00 130.31
Fractional coordinates of all 14 atoms:
Tl 0.092 0.908 0.750
Tl 0.908 0.092 0.250
Cd 0.362 0.638 0.545
Cd 0.362 0.638 0.955
Cd 0.638 0.362 0.045
Cd 0.638 0.362 0.455
Hg 0.000 0.000 0.000
Hg 0.000 0.000 0.500
Hg 0.251 0.749 0.144
Hg 0.251 0.749 0.356
Hg 0.415 0.585 0.750
Hg 0.585 0.415 0.250
Hg 0.749 0.251 0.644
Hg 0.749 0.251 0.856

=====

Tl3Cd5Hg2 | PBE-GGA | relaxed

Results
calculated volume: 544.1 Å³/cell
ρ: 9.62 g cm⁻³
uncorrected energy: -1.176 eV per atom
ΔE_f: 0.05 eV per atom
Fermi-level density of states: 7.5 states/eV/cell
space-group type: P4/mbm, No. 127

abc: 10.700 10.700 4.752
angles: 90.00 90.00 90.00
Fractional coordinates of all 20 atoms:
Tl 0.000 0.000 0.000
Tl 0.177 0.323 0.000
Tl 0.323 0.823 0.000
Tl 0.500 0.500 0.000
Tl 0.677 0.177 0.000
Tl 0.823 0.677 0.000
Cd 0.000 0.500 0.500
Cd 0.053 0.795 0.500
Cd 0.205 0.053 0.500
Cd 0.295 0.553 0.500
Cd 0.447 0.295 0.500
Cd 0.500 0.000 0.500
Cd 0.553 0.705 0.500
Cd 0.705 0.447 0.500
Cd 0.795 0.947 0.500
Cd 0.947 0.205 0.500
Hg 0.123 0.623 0.000
Hg 0.377 0.123 0.000
Hg 0.623 0.877 0.000
Hg 0.877 0.377 0.000

=====

Tl4Cd3Hg | PBE-GGA | relaxed

Results
calculated volume: 222.6 Å³/cell
ρ: 10.11 g cm⁻³
uncorrected energy: -1.533 eV per atom
ΔE_f: 0.03 eV per atom
Fermi-level density of states: 2.8 states/eV/cell
space-group type: Pmm2, No. 25

abc: 3.625 4.858 12.641
angles: 90.00 90.00 90.00
Fractional coordinates of all 8 atoms:
Tl 0.000 0.000 0.000
Tl 0.000 0.500 0.340
Tl 0.500 0.000 0.496
Tl 0.500 0.500 0.843
Cd 0.000 0.500 0.598
Cd 0.500 0.000 0.239
Cd 0.500 0.500 0.102
Hg 0.000 0.000 0.738

=====

Tl4Cd2Hg | PBE-GGA | relaxed

Results
calculated volume: 514.4 Å³/cell
ρ: 8.02 g cm⁻³
uncorrected energy: -1.425 eV per atom
ΔE_f: 0.23 eV per atom
Fermi-level density of states: 8.5 states/eV/cell
ΔE to the lowest computed polymorph: 193 meV per atom
space-group type: I4/mmm, No. 139

abc: 5.842 5.842 15.072
angles: 90.00 90.00 90.00
Fractional coordinates of all 14 atoms:
Tl 0.000 0.000 0.200
Tl 0.000 0.000 0.800
Tl 0.000 0.500 0.000
Tl 0.000 0.500 0.500
Tl 0.500 0.000 0.000
Tl 0.500 0.000 0.500
Tl 0.500 0.500 0.300
Tl 0.500 0.500 0.700
Cd 0.000 0.000 0.398
Cd 0.000 0.000 0.602
Cd 0.500 0.500 0.102
Cd 0.500 0.500 0.898
Hg 0.000 0.000 0.000
Hg 0.500 0.500 0.500

=====

Tl3Cd6Hg2 | PBE-GGA | relaxed

Results
calculated volume: 305.2 Å³/cell
ρ: 9.19 g cm⁻³
uncorrected energy: -1.133 eV per atom
ΔE_f: 0.07 eV per atom
Fermi-level density of states: 4.5 states/eV/cell
space-group type: I4/mmm, No. 139

abc: 16.278 16.278 16.278
angles: 164.57 164.57 21.88
Fractional coordinates of all 11 atoms:
Tl 0.000 0.000 0.000
Tl 0.169 0.169 0.000
Tl 0.831 0.831 0.000
Cd 0.072 0.572 0.500
Cd 0.266 0.266 0.000
Cd 0.428 0.928 0.500
Cd 0.572 0.072 0.500
Cd 0.734 0.734 0.000
Cd 0.928 0.428 0.500
Hg 0.359 0.359 0.000
Hg 0.641 0.641 0.000

=====

What did the second record say?
TlCd2Hg4 | PBE-GGA | relaxed

Results
calculated volume: 385.0 Å³/cell
ρ: 10.62 g cm⁻³
uncorrected energy: -0.743 eV per atom
ΔE_f: 0.03 eV per atom
Fermi-level density of states: 6.2 states/eV/cell
ΔE to the lowest computed polymorph: 7 meV per atom
space-group type: Cmcm, No. 63

abc: 5.990 5.990 14.071
angles: 90.00 90.00 130.31
Fractional coordinates of all 14 atoms:
Tl 0.092 0.908 0.750
Tl 0.908 0.092 0.250
Cd 0.362 0.638 0.545
Cd 0.362 0.638 0.955
Cd 0.638 0.362 0.045
Cd 0.638 0.362 0.455
Hg 0.000 0.000 0.000
Hg 0.000 0.000 0.500
Hg 0.251 0.749 0.144
Hg 0.251 0.749 0.356
Hg 0.415 0.585 0.750
Hg 0.585 0.415 0.250
Hg 0.749 0.251 0.644
Hg 0.749 0.251 0.856